#w
The following is a GGA-PBE calculation of an optimized crystal structure of RbFeI4, from Alexandria via LeMat-Bulk.

Cell and atoms, written as POSCAR:
```
RbFeI4
1.0
6.649 0.000 2.314
3.324 6.455 1.157
1.203 0.000 7.253
I Rb Fe
4 1 1
direct
0.485 0.936 0.680
0.579 0.320 0.936
0.101 0.064 0.320
0.834 0.680 0.064
0.250 0.500 0.500
0.500 0.000 0.000
```

crystal system	tetragonal
volume	48.89	A^3/atom

#x
The following is a GGA-PBE calculation of an optimized crystal structure of RbFeI4, from Alexandria via LeMat-Bulk.

Cell and atoms, written as POSCAR:
```
RbFeI4
1.0
-3.461 7.979 16.369
-3.306 -6.564 2.500
5.902 -4.793 3.584
Rb I Fe
4 16 4
direct
0.379 0.181 0.198
0.621 0.819 0.802
0.121 0.181 0.698
0.879 0.819 0.302
0.739 0.412 0.127
0.330 0.131 0.718
0.445 0.741 0.572
0.239 0.588 0.373
0.052 0.726 0.574
0.448 0.726 0.074
0.670 0.869 0.282
0.055 0.741 0.072
0.945 0.259 0.928
0.761 0.412 0.627
0.948 0.274 0.426
0.830 0.869 0.782
0.170 0.131 0.218
0.552 0.274 0.926
0.261 0.588 0.873
0.555 0.259 0.428
0.370 0.796 0.807
0.870 0.204 0.693
0.630 0.204 0.193
0.130 0.796 0.307
```

crystal system	monoclinic
volume	47.74	A^3/atom

Which structure is the least stable? The one labeled #w.

#w
The following is a GGA-PBE calculation of an optimized crystal structure of Rb3FeI6, from Alexandria via LeMat-Bulk.

Cell and atoms, written as POSCAR:
```
Rb3FeI6
1.0
8.635 0.000 0.000
0.000 8.635 0.000
4.318 4.318 6.105
Fe I Rb
1 6 3
direct
0.500 0.500 0.000
0.283 0.283 0.435
0.717 0.283 0.000
0.283 0.717 0.000
0.717 0.717 0.000
0.717 0.717 0.565
0.283 0.283 0.000
0.000 0.000 0.000
0.750 0.250 0.500
0.250 0.750 0.500
```

crystal system	cubic
volume	45.53	A^3/atom

#x
The following is a GGA-PBE calculation of an optimized crystal structure of Rb3FeI6, from Alexandria via LeMat-Bulk.

Cell and atoms, written as POSCAR:
```
Rb3FeI6
1.0
7.700 0.000 0.000
0.000 11.721 -2.725
0.000 -0.041 12.033
I Rb Fe
12 6 2
direct
0.700 0.209 0.791
0.663 0.600 0.117
0.200 0.791 0.209
0.163 0.117 0.600
0.706 0.659 0.670
0.663 0.883 0.400
0.206 0.341 0.330
0.163 0.400 0.883
0.630 0.935 0.065
0.206 0.670 0.659
0.130 0.065 0.935
0.706 0.330 0.341
0.970 0.078 0.292
0.470 0.922 0.708
0.941 0.604 0.396
0.970 0.708 0.922
0.441 0.396 0.604
0.470 0.292 0.078
0.037 0.198 0.802
0.537 0.802 0.198
```

crystal system	orthorhombic
volume	54.26	A^3/atom

Which structure is the least stable? The one labeled #w.